(1)
Compound: ScHgAuS2
Source: Alexandria via LeMat-Bulk
Functional: GGA-PBEsol
Structure: optimized geometry

Computed properties:
Uncorrected energy ... -18.74 eV for the cell shown
Space group ... No. 123
Magnetization ... 0.0 μB/f.u.

a = 4.7358 Å, b = 4.7358 Å, c = 5.2175 Å
α = 90.00°, β = 90.00°, γ = 90.00°
Atoms (fractional coordinates):
S  0.0000  0.5000  0.0000
Sc  0.0000  0.0000  0.5000
S  0.5000  0.0000  0.0000
Hg  0.5000  0.5000  0.5000
Au  0.0000  0.0000  0.0000

=====

(2)
Compound: Be2CrFe
Source: Alexandria via LeMat-Bulk
Functional: GGA-PBEsol
Structure: optimized geometry

Computed properties:
Space group ... No. 8
Formation energy from the elements ... 0.02 eV per atom
Magnetization ... 0.6 μB/f.u.
Energy relative to the lowest polymorph listed for this composition ... 17.0 kJ/mol of atoms

a = 2.4238 Å, b = 4.0164 Å, c = 4.0717 Å
α = 99.38°, β = 90.00°, γ = 107.56°
Each line ends with the local moment (μB).
Atoms (fractional coordinates):
Fe  0.2577  0.5154  0.7417  0.69
Cr  0.4990  0.9980  0.5150  -0.13
Be  0.9986  0.9972  0.0185  0.00
Be  0.7447  0.4894  0.2248  -0.01

=====

(3)
Compound: Sr2GaBiO6
Source: Alexandria via LeMat-Bulk
Functional: GGA-PBEsol
Structure: optimized geometry

Computed properties:
Uncorrected energy ... -62.50 eV for the cell shown
Space group ... No. 225
Magnetization ... 0.0 μB/f.u.

a = 5.7121 Å, b = 5.7121 Å, c = 5.7121 Å
α = 60.00°, β = 60.00°, γ = 60.00°
Atoms (fractional coordinates):
O  0.7577  0.2423  0.2423
Ga  0.0000  0.0000  0.0000
O  0.2423  0.7577  0.2423
O  0.2423  0.7577  0.7577
O  0.7577  0.7577  0.2423
Sr  0.2500  0.2500  0.2500
O  0.7577  0.2423  0.7577
Sr  0.7500  0.7500  0.7500
Bi  0.5000  0.5000  0.5000
O  0.2423  0.2423  0.7577

=====

(4)
Compound: AlHgRuCl2
Source: Alexandria via LeMat-Bulk
Functional: GGA-PBEsol
Structure: optimized geometry

Computed properties:
Uncorrected energy ... -15.61 eV for the cell shown
Space group ... No. 123
Magnetization ... 2.6 μB/f.u.

a = 4.4365 Å, b = 4.4365 Å, c = 5.7334 Å
α = 90.00°, β = 90.00°, γ = 90.00°
Each line ends with the local moment (μB).
Atoms (fractional coordinates):
Hg  0.0000  0.0000  0.5000  -0.03
Al  0.0000  0.0000  0.0000  0.01
Cl  0.0000  0.5000  0.0000  0.01
Ru  0.5000  0.5000  0.5000  2.34
Cl  0.5000  0.0000  0.0000  0.01

=====

(5)
Compound: BaScGe2W
Source: Alexandria via LeMat-Bulk
Functional: GGA-PBEsol
Structure: optimized geometry

Computed properties:
Space group ... No. 123
Formation energy from the elements ... 0.72 eV per atom
Magnetization ... 0.6 μB/f.u.

a = 4.9167 Å, b = 4.9167 Å, c = 5.5652 Å
α = 90.00°, β = 90.00°, γ = 90.00°
Each line ends with the local moment (μB).
Atoms (fractional coordinates):
Sc  0.5000  0.5000  0.5000  0.38
W  0.0000  0.0000  0.0000  -0.02
Ge  0.0000  0.5000  0.0000  0.00
Ba  0.0000  0.0000  0.5000  0.04
Ge  0.5000  0.0000  0.0000  0.00

=====

(6)
Compound: CrAgBr2
Source: Alexandria via LeMat-Bulk
Functional: GGA-PBEsol
Structure: optimized geometry

Computed properties:
Space group ... No. 12
Magnetization ... 4.8 μB/f.u.
Energy relative to the lowest polymorph listed for this composition ... 7.3 kJ/mol of atoms

a = 3.7369 Å, b = 5.1611 Å, c = 5.1611 Å
α = 90.12°, β = 73.46°, γ = 73.46°
Each line ends with the local moment (μB).
Atoms (fractional coordinates):
Cr  0.5000  0.5000  0.5000  4.15
Br  0.0000  0.5000  0.0000  0.01
Ag  0.5000  0.0000  0.0000  0.00
Br  0.0000  0.0000  0.5000  0.01

=====

(7)
Compound: TlPtCl
Source: Alexandria via LeMat-Bulk
Functional: GGA-PBEsol
Structure: optimized geometry

Computed properties:
Uncorrected energy ... -11.14 eV for the cell shown
Space group ... No. 44
Magnetization ... 0.0 μB/f.u.

a = 3.1599 Å, b = 3.5546 Å, c = 5.9009 Å
α = 107.53°, β = 105.53°, γ = 90.00°
Atoms (fractional coordinates):
Tl  0.3086  0.3086  0.6172
Pt  0.6734  0.6734  0.3468
Cl  0.0180  0.0180  0.0360

=====

(8)
Compound: CaCuPt
Source: Alexandria via LeMat-Bulk
Functional: GGA-PBEsol
Structure: optimized geometry

Computed properties:
Space group ... No. 187
Formation energy from the elements ... -0.45 eV per atom
Magnetization ... 0.0 μB/f.u.

a = 3.7345 Å, b = 4.2324 Å, c = 4.2324 Å
α = 120.00°, β = 90.00°, γ = 90.00°
Atoms (fractional coordinates):
Cu  0.0000  0.3333  0.6667
Pt  0.0000  0.6667  0.3333
Ca  0.5000  0.0000  0.0000

=====

(9)
Compound: LiHS
Source: Alexandria via LeMat-Bulk
Functional: GGA-PBEsol
Structure: optimized geometry

Computed properties:
Uncorrected energy ... -23.92 eV for the cell shown
Space group ... No. 40
Magnetization ... 0.0 μB/f.u.

a = 3.8671 Å, b = 3.8671 Å, c = 6.1006 Å
α = 90.00°, β = 90.00°, γ = 91.40°
Atoms (fractional coordinates):
S  0.0021  0.4747  0.2500
S  0.4747  0.0021  0.7500
H  0.9856  0.1234  0.2500
Li  0.5041  0.5041  0.0000
H  0.1234  0.9856  0.7500
Li  0.5041  0.5041  0.5000

=====

(10)
Compound: CdCo2W
Source: Alexandria via LeMat-Bulk
Functional: GGA-PBEsol
Structure: optimized geometry

Computed properties:
Space group ... No. 38
Formation energy from the elements ... 0.38 eV per atom
Magnetization ... 0.8 μB/f.u.

a = 2.7031 Å, b = 4.0958 Å, c = 5.0401 Å
α = 90.00°, β = 105.55°, γ = 90.00°
Each line ends with the local moment (μB).
Atoms (fractional coordinates):
Cd  0.4183  0.5000  0.8366  0.00
W  0.0939  0.0000  0.1879  -0.02
Co  0.6822  0.5000  0.3644  0.25
Co  0.8181  0.0000  0.6362  0.59

=====

(11)
Compound: KNaSr3
Source: Alexandria via LeMat-Bulk
Functional: GGA-PBEsol
Structure: optimized geometry

Computed properties:
Space group ... No. 221
Formation energy from the elements ... 0.62 eV per atom
Magnetization ... 0.0 μB/f.u.

a = 7.0328 Å, b = 7.0328 Å, c = 7.0328 Å
α = 90.00°, β = 90.00°, γ = 90.00°
Atoms (fractional coordinates):
Sr  0.5000  0.0000  0.0000
K  0.0000  0.0000  0.0000
Sr  0.0000  0.5000  0.0000
Na  0.5000  0.5000  0.5000
Sr  0.0000  0.0000  0.5000

=====

(12)
Compound: TaTeSI2
Source: Alexandria via LeMat-Bulk
Functional: GGA-PBEsol
Structure: optimized geometry

Computed properties:
Uncorrected energy ... -21.35 eV for the cell shown
Space group ... No. 123
Magnetization ... 1.2 μB/f.u.

a = 5.3372 Å, b = 5.3637 Å, c = 5.3637 Å
α = 90.00°, β = 90.00°, γ = 90.00°
Each line ends with the local moment (μB).
Atoms (fractional coordinates):
Te  0.5000  0.0000  0.0000  0.06
Ta  0.0000  0.0000  0.0000  -0.02
I  0.0000  0.0000  0.5000  0.04
S  0.5000  0.5000  0.5000  0.57
I  0.0000  0.5000  0.0000  0.04